## LiNdAu2 (GGA-PBE)

Data for crystalline LiNdAu2 at its relaxed geometry.

Properties
Volume = 352.1 Å³/cell
Calculated density = 10.28 g cm⁻³
Energy = -3.967 eV per atom
N(E_F) = 11.94 states/eV per cell
Energy of formation = -0.658 eV per atom

Unit cell a=7.061 b=7.061 c=7.061 alpha=90.00 beta=90.00 gamma=90.00
Positions (direct):
1 Li 0.000 0.000 0.000
2 Li 0.000 0.500 0.500
3 Li 0.500 0.000 0.500
4 Li 0.500 0.500 0.000
5 Nd 0.000 0.000 0.500
6 Nd 0.000 0.500 0.000
7 Nd 0.500 0.000 0.000
8 Nd 0.500 0.500 0.500
9 Au 0.250 0.250 0.250
10 Au 0.250 0.250 0.750
11 Au 0.250 0.750 0.250
12 Au 0.250 0.750 0.750
13 Au 0.750 0.250 0.250
14 Au 0.750 0.250 0.750
15 Au 0.750 0.750 0.250
16 Au 0.750 0.750 0.750